P | # Zn3HW

Crystalline Zn3HW at its relaxed geometry (PBE-GGA, the Alexandria database).

```
Zn3HW
1.0
3.9322 0.0000 0.0000
0.0000 3.9322 0.0000
0.0000 0.0000 3.9322
Zn H W
3 1 1
Cartesian
0.0000 0.0000 1.9661
0.0000 1.9661 0.0000
1.9661 0.0000 0.0000
0.0000 0.0000 0.0000
1.9661 1.9661 1.9661
```

Properties
As for the crystal system: cubic. The density is 10.4 g/cm³. As for the density of states at the Fermi level: 2.50 states/eV/f.u.

Q | # Zn3HW

Crystalline Zn3HW at its relaxed geometry (PBE-GGA, the Alexandria database).

```
Zn3HW
1.0
5.1210 0.0000 0.0000
0.0000 5.1210 0.0000
0.0000 0.0000 5.1210
Zn H W
3 1 1
Cartesian
0.0000 0.0000 2.5605
0.0000 2.5605 0.0000
2.5605 0.0000 0.0000
2.5605 2.5605 2.5605
0.0000 0.0000 0.0000
```

Properties
As for the crystal system: cubic. The density is 4.7 g/cm³. As for the density of states at the Fermi level: 3.25 states/eV/f.u.

Short version: P, Q, most stable first.

P | # ZnH2W

Crystalline ZnH2W at its relaxed geometry (PBE-GGA, the Alexandria database).

```
ZnH2W
1.0
5.2391 0.0000 0.0000
0.0000 5.2391 0.0000
0.0000 0.0000 5.2391
Zn H W
4 8 4
Cartesian
0.0000 0.0000 0.0000
0.0000 2.6195 2.6195
2.6195 0.0000 2.6195
2.6195 2.6195 0.0000
1.3098 1.3098 1.3098
1.3098 1.3098 3.9293
1.3098 3.9293 1.3098
1.3098 3.9293 3.9293
3.9293 1.3098 1.3098
3.9293 1.3098 3.9293
3.9293 3.9293 1.3098
3.9293 3.9293 3.9293
0.0000 0.0000 2.6195
0.0000 2.6195 0.0000
2.6195 0.0000 0.0000
2.6195 2.6195 2.6195
```

Properties
As for the crystal system: cubic. The density is 11.6 g/cm³. As for the density of states at the Fermi level: 2.17 states/eV/f.u.

Q | # ZnH2W

Crystalline ZnH2W at its relaxed geometry (PBE-GGA, the Alexandria database).

```
ZnH2W
1.0
4.3505 0.0000 0.0000
0.0000 4.3505 0.0000
0.0000 0.0000 8.0749
Zn H W
4 8 4
Cartesian
0.0000 0.0000 0.0000
0.0000 2.1753 2.0187
2.1753 0.0000 6.0562
2.1753 2.1753 4.0374
1.0465 1.0876 5.0468
1.0876 3.2218 7.0655
1.0876 3.3040 3.0281
1.1287 1.0876 1.0094
3.2218 3.2629 1.0094
3.2629 1.0465 3.0281
3.2629 1.1287 7.0655
3.3040 3.2629 5.0468
0.0000 0.0000 4.0374
0.0000 2.1753 6.0562
2.1753 0.0000 2.0187
2.1753 2.1753 0.0000
```

Properties
As for the crystal system: tetragonal. The density is 10.9 g/cm³. As for the density of states at the Fermi level: 0.48 states/eV/f.u.

Short version: Q, P, most stable first.

P | # ZrHW2

Crystalline ZrHW2 at its relaxed geometry (PBE-GGA, the Alexandria database).

```
ZrHW2
1.0
5.5935 0.0000 0.0000
0.0000 5.5935 0.0000
0.0000 0.0000 7.8924
Zr H W
4 4 8
Cartesian
0.0000 1.3984 2.9597
0.0000 4.1951 4.9328
2.7968 1.3984 0.9866
2.7968 4.1951 6.9059
0.0000 1.3984 6.9059
0.0000 4.1951 0.9866
2.7968 1.3984 4.9328
2.7968 4.1951 2.9597
0.0000 0.0000 0.0000
0.0000 2.7968 0.0000
1.3984 1.3984 5.9193
1.3984 4.1951 1.9731
2.7968 0.0000 3.9462
2.7968 2.7968 3.9462
4.1951 1.3984 5.9193
4.1951 4.1951 1.9731
```

Properties
As for the crystal system: tetragonal. The density is 12.4 g/cm³. As for the density of states at the Fermi level: 2.15 states/eV/f.u.

Q | # ZrHW2

Crystalline ZrHW2 at its relaxed geometry (PBE-GGA, the Alexandria database).

```
ZrHW2
1.0
6.3050 0.0000 0.0000
0.0000 6.3050 0.0000
0.0000 0.0000 6.3050
Zr H W
4 4 8
Cartesian
0.0000 0.0000 0.0000
0.0000 3.1525 3.1525
3.1525 0.0000 3.1525
3.1525 3.1525 0.0000
0.0000 0.0000 3.1525
0.0000 3.1525 0.0000
3.1525 0.0000 0.0000
3.1525 3.1525 3.1525
1.5762 1.5762 1.5762
1.5762 1.5762 4.7287
1.5762 4.7287 1.5762
1.5762 4.7287 4.7287
4.7287 1.5762 1.5762
4.7287 1.5762 4.7287
4.7287 4.7287 1.5762
4.7287 4.7287 4.7287
```

Properties
As for the crystal system: cubic. The density is 12.2 g/cm³. As for the density of states at the Fermi level: 4.18 states/eV/f.u.

Short version: P, Q, most stable first.

P | # ZrHW3

Crystalline ZrHW3 at its relaxed geometry (PBE-GGA, the Alexandria database).

```
ZrHW3
1.0
4.8425 0.0000 0.0000
0.0000 4.8425 0.0000
0.0000 0.0000 4.8425
Zr H W
1 1 3
Cartesian
0.0000 0.0000 0.0000
2.4213 2.4213 2.4213
0.0000 0.0000 2.4213
0.0000 2.4213 0.0000
2.4213 0.0000 0.0000
```

Properties
As for the crystal system: cubic. The density is 9.4 g/cm³. As for the density of states at the Fermi level: 4.44 states/eV/f.u.

Q | # ZrHW3

Crystalline ZrHW3 at its relaxed geometry (PBE-GGA, the Alexandria database).

```
ZrHW3
1.0
4.1806 0.0000 0.0000
0.0000 4.1806 0.0000
0.0000 0.0000 4.1806
Zr H W
1 1 3
Cartesian
0.0000 0.0000 0.0000
2.0903 2.0903 2.0903
0.0000 2.0903 2.0903
2.0903 0.0000 2.0903
2.0903 2.0903 0.0000
```

Properties
As for the crystal system: cubic. The density is 14.6 g/cm³. As for the density of states at the Fermi level: 5.40 states/eV/f.u.

Short version: Q, P, most stable first.

P | # YZrH

Crystalline YZrH at its relaxed geometry (PBE-GGA, the Alexandria database).

```
YZrH
1.0
5.4693 0.0000 0.0000
0.0000 3.1803 0.0000
0.0000 0.0000 12.7531
Y Zr H
4 4 4
Cartesian
1.3621 0.7951 0.7191
1.3726 2.3852 7.0957
4.0967 0.7951 5.6574
4.1073 2.3852 12.0340
1.2572 2.3852 10.3107
1.4775 0.7951 3.9341
3.9919 2.3852 8.8190
4.2121 0.7951 2.4424
0.4014 2.3852 2.4886
2.3333 0.7951 8.8651
3.1361 2.3852 3.8880
5.0680 0.7951 10.2646
```

Properties
As for the crystal system: orthorhombic. The density is 5.4 g/cm³. As for the density of states at the Fermi level: 3.09 states/eV/f.u.

Q | # YZrH

Crystalline YZrH at its relaxed geometry (PBE-GGA, the Alexandria database).

```
YZrH
1.0
3.4218 0.0000 0.0000
-1.7109 2.9633 0.0000
0.0000 0.0000 5.4185
Y Zr H
1 1 1
Cartesian
0.0000 0.0000 0.0000
1.7109 0.9878 2.6937
0.0000 1.9756 3.8420
```

Properties
As for the crystal system: trigonal. The density is 5.5 g/cm³. As for the density of states at the Fermi level: 1.58 states/eV/f.u.

R | # YZrH

Crystalline YZrH at its relaxed geometry (PBE-GGA, the Alexandria database).

```
YZrH
1.0
10.9156 0.0000 0.0000
0.0000 3.3952 0.0000
0.0000 0.0000 5.9189
Y Zr H
4 4 4
Cartesian
0.0051 0.8488 1.4682
10.9106 2.5464 4.4507
5.4629 0.8488 1.4913
5.4528 2.5464 4.4276
2.7275 0.8488 3.4370
2.7303 2.5464 0.4776
8.1853 0.8488 5.4413
8.1881 2.5464 2.4819
1.6030 2.5464 2.4252
3.8548 0.8488 5.3847
7.0608 2.5464 0.5342
9.3127 0.8488 3.4937
```

Properties
As for the crystal system: orthorhombic. The density is 5.5 g/cm³. As for the density of states at the Fermi level: 2.38 states/eV/f.u.

Short version: R, Q, P, most stable first.

P | # YZr2H

Crystalline YZr2H at its relaxed geometry (PBE-GGA, the Alexandria database).

```
YZr2H
1.0
3.2340 0.0000 0.0000
-1.6170 2.8007 0.0000
0.0000 0.0000 26.3353
Y Zr H
3 6 3
Cartesian
0.0000 0.0000 0.0000
0.0000 1.8672 17.5569
1.6170 0.9336 8.7784
0.0000 0.0000 3.0786
0.0000 0.0000 23.2568
0.0000 1.8672 14.4783
0.0000 1.8672 20.6355
1.6170 0.9336 5.6999
1.6170 0.9336 11.8570
0.0000 0.0000 13.1677
0.0000 1.8672 4.3892
1.6170 0.9336 21.9461
```

Properties
As for the crystal system: trigonal. The density is 5.7 g/cm³. As for the density of states at the Fermi level: 5.21 states/eV/f.u.

Q | # YZr2H

Crystalline YZr2H at its relaxed geometry (PBE-GGA, the Alexandria database).

```
YZr2H
1.0
6.9518 0.0000 0.0000
0.0000 6.9518 0.0000
0.0000 0.0000 6.9518
Y Zr H
4 8 4
Cartesian
0.0000 0.0000 0.0000
0.0000 3.4759 3.4759
3.4759 0.0000 3.4759
3.4759 3.4759 0.0000
1.7380 1.7380 1.7380
1.7380 1.7380 5.2139
1.7380 5.2139 1.7380
1.7380 5.2139 5.2139
5.2139 1.7380 1.7380
5.2139 1.7380 5.2139
5.2139 5.2139 1.7380
5.2139 5.2139 5.2139
0.0000 0.0000 3.4759
0.0000 3.4759 0.0000
3.4759 0.0000 0.0000
3.4759 3.4759 3.4759
```

Properties
As for the crystal system: cubic. The density is 5.4 g/cm³. As for the density of states at the Fermi level: 6.79 states/eV/f.u.

R | # YZr2H

Crystalline YZr2H at its relaxed geometry (PBE-GGA, the Alexandria database).

```
YZr2H
1.0
6.2714 0.0000 0.0000
0.0000 6.2714 0.0000
0.0000 0.0000 8.8384
Y Zr H
4 8 4
Cartesian
0.0000 0.0000 0.0000
0.0000 3.1357 2.2096
3.1357 0.0000 6.6288
3.1357 3.1357 4.4192
0.3328 4.7035 5.5240
1.5678 0.3328 3.3144
1.5678 2.8029 7.7336
2.8029 4.7035 1.1048
3.4685 1.5678 1.1048
4.7035 3.4685 7.7336
4.7035 5.9385 3.3144
5.9385 1.5678 5.5240
0.0000 0.0000 4.4192
0.0000 3.1357 6.6288
3.1357 0.0000 2.2096
3.1357 3.1357 0.0000
```

Properties
As for the crystal system: tetragonal. The density is 5.2 g/cm³. As for the density of states at the Fermi level: 6.52 states/eV/f.u.

Short version: R, P, Q, most stable first.

P | # YZrH2

Crystalline YZrH2 at its relaxed geometry (PBE-GGA, the Alexandria database).

```
YZrH2
1.0
3.3681 0.0000 0.0000
-1.6840 2.9168 0.0000
0.0000 0.0000 16.5929
Y Zr H
3 3 6
Cartesian
0.0000 0.0000 0.0000
0.0000 1.9446 11.0619
1.6840 0.9723 5.5310
0.0000 0.0000 8.2964
0.0000 1.9446 2.7655
1.6840 0.9723 13.8274
0.0000 0.0000 3.8607
0.0000 0.0000 12.7322
0.0000 1.9446 7.2012
0.0000 1.9446 14.9226
1.6840 0.9723 1.6703
1.6840 0.9723 9.3917
```

Properties
As for the crystal system: trigonal. The density is 5.6 g/cm³. As for the density of states at the Fermi level: 3.47 states/eV/f.u.

Q | # YZrH2

Crystalline YZrH2 at its relaxed geometry (PBE-GGA, the Alexandria database).

```
YZrH2
1.0
5.1075 0.0000 0.0000
0.0000 5.1075 0.0000
0.0000 0.0000 9.3441
Y Zr H
4 4 8
Cartesian
0.0000 0.0000 0.0000
0.0000 2.5538 2.3360
2.5538 0.0000 7.0081
2.5538 2.5538 4.6721
0.0000 0.0000 4.6721
0.0000 2.5538 7.0081
2.5538 0.0000 2.3360
2.5538 2.5538 0.0000
1.1271 1.2769 5.8401
1.2769 3.6808 8.1761
1.2769 3.9804 3.5041
1.4267 1.2769 1.1680
3.6808 3.8306 1.1680
3.8306 1.1271 3.5041
3.8306 1.4267 8.1761
3.9804 3.8306 5.8401
```

Properties
As for the crystal system: tetragonal. The density is 5.0 g/cm³. As for the density of states at the Fermi level: 3.85 states/eV/f.u.

Short version: Q, P, most stable first.

P | # YZrH2

Crystalline YZrH2 at its relaxed geometry (PBE-GGA, the Alexandria database).

```
YZrH2
1.0
6.0546 0.0000 0.0000
0.0000 6.0546 0.0000
0.0000 0.0000 6.0546
Y Zr H
4 4 8
Cartesian
0.0000 0.0000 0.0000
0.0000 3.0273 3.0273
3.0273 0.0000 3.0273
3.0273 3.0273 0.0000
0.0000 0.0000 3.0273
0.0000 3.0273 0.0000
3.0273 0.0000 0.0000
3.0273 3.0273 3.0273
1.5137 1.5137 1.5137
1.5137 1.5137 4.5410
1.5137 4.5410 1.5137
1.5137 4.5410 4.5410
4.5410 1.5137 1.5137
4.5410 1.5137 4.5410
4.5410 4.5410 1.5137
4.5410 4.5410 4.5410
```

Properties
As for the crystal system: cubic. The density is 5.5 g/cm³. As for the density of states at the Fermi level: 3.54 states/eV/f.u.

Q | # YZrH2

Crystalline YZrH2 at its relaxed geometry (PBE-GGA, the Alexandria database).

```
YZrH2
1.0
3.3602 0.0000 0.0000
-1.6801 2.9100 0.0000
0.0000 0.0000 16.8656
Y Zr H
3 3 6
Cartesian
0.0000 0.0000 0.0000
0.0000 1.9400 11.2437
1.6801 0.9700 5.6219
0.0000 0.0000 2.9949
0.0000 1.9400 14.2386
1.6801 0.9700 8.6167
0.0000 0.0000 7.2772
0.0000 0.0000 9.7752
0.0000 1.9400 1.6553
0.0000 1.9400 4.1533
1.6801 0.9700 12.8991
1.6801 0.9700 15.3970
```

Properties
As for the crystal system: trigonal. The density is 5.5 g/cm³. As for the density of states at the Fermi level: 2.79 states/eV/f.u.

Short version: Q, P, most stable first.